[1]
VASP calculation (GGA-PBE) on an optimized crystal structure of Mn2CoSi.

Structure (POSCAR):
```
Mn2CoSi
1.0
2.821 0.000 0.000
0.000 2.821 0.000
0.000 0.000 5.634
Mn Co Si
2 1 1
direct
0.000 0.000 0.000
0.500 0.500 0.246
0.500 0.500 0.729
0.000 0.000 0.499
```

Values from the calculation:
formation energy (no corrections): -275 meV per atom



[2]
VASP calculation (GGA-PBE) on an optimized crystal structure of PmSiTc2Ge2.

Structure (POSCAR):
```
PmSiTc2Ge2
1.0
4.499 0.000 0.000
0.000 4.499 0.000
0.000 0.000 5.595
Pm Si Tc Ge
1 1 2 2
direct
0.000 0.000 0.000
0.000 0.000 0.500
0.000 0.500 0.500
0.500 0.000 0.500
0.500 0.500 0.231
0.500 0.500 0.769
```

Values from the calculation:
formation energy (no corrections): -255 meV per atom



[3]
VASP calculation (GGA-PBE) on an optimized crystal structure of ScOs2Pb.

Structure (POSCAR):
```
ScOs2Pb
1.0
5.111 -1.551 0.000
5.111 1.551 0.000
-1.947 0.000 4.544
Sc Os Pb
1 2 1
direct
0.000 0.000 0.000
0.239 0.239 0.871
0.530 0.530 0.499
0.781 0.781 0.380
```

Values from the calculation:
DFT formation energy: 0.274 eV per atom



V: 11.21 18.87 18.00 (Å³/atom)
D(E_F): 1.818 3.741 2.107 (states/eV/f.u.)